BaCr2Sb | PBE-GGA | relaxed

The structure in POSCAR format:
```
BaCr2Sb
1.0
3.745 0.000 0.000
0.000 3.745 0.000
0.000 0.000 7.069
Ba Cr Sb
1 2 1
direct
0.000 0.000 0.000 Ba
0.500 0.500 0.363 Cr
0.500 0.500 0.637 Cr
0.000 0.000 0.500 Sb
```

Values from the calculation:
DOS(E_F): 4.074 states/eV/cell
VASP energy: -23.02 eV/f.u.
Crystal system: tetragonal


BaCr2Sb | PBE-GGA | relaxed

The structure in POSCAR format:
```
BaCr2Sb
1.0
3.407 -5.357 0.000
3.407 5.357 0.000
-1.587 0.000 2.956
Ba Cr Sb
1 2 1
direct
0.000 0.000 0.000 Ba
0.000 0.500 0.500 Cr
0.500 0.000 0.500 Cr
0.500 0.500 0.000 Sb
```

Values from the calculation:
DOS(E_F): 3.480 states/eV/cell
VASP energy: -22.29 eV/f.u.
Crystal system: monoclinic